No. 1
# ScMo3 | the Alexandria database | GGA-PBEsol | optimized geometry
# - E_tot: -10.02 eV per atom
# - V: 16.63 Å³/atom
# - ΔE_f: 0.456 eV/atom
data_ScMo3
_symmetry_space_group_name_H-M 'P 1'
_symmetry_Int_Tables_number 1
_cell_length_a 2.936
_cell_length_b 2.936
_cell_length_c 8.914
_cell_angle_alpha 90.00
_cell_angle_beta 90.00
_cell_angle_gamma 120.00
loop_
_symmetry_equiv_pos_as_xyz
'x,y,z'
loop_
_atom_site_label
_atom_site_type_symbol
_atom_site_fract_x
_atom_site_fract_y
_atom_site_fract_z
_atom_site_occupancy
Mo1 Mo 0.000 0.000 0.000 1
Mo2 Mo 0.333 0.667 0.234 1
Mo3 Mo 0.333 0.667 0.766 1
Sc1 Sc 0.000 0.000 0.500 1



No. 2
# NbCo2Cl | the Alexandria database | GGA-PBEsol | optimized geometry
# - E_tot: -6.38 eV per atom
# - V: 13.47 Å³/atom
# - E_form (uncorrected): 0.6916 eV per atom
data_NbCo2Cl
_symmetry_space_group_name_H-M 'P 1'
_symmetry_Int_Tables_number 1
_cell_length_a 4.240
_cell_length_b 4.240
_cell_length_c 4.240
_cell_angle_alpha 60.00
_cell_angle_beta 60.00
_cell_angle_gamma 60.00
loop_
_symmetry_equiv_pos_as_xyz
'x,y,z'
loop_
_atom_site_label
_atom_site_type_symbol
_atom_site_fract_x
_atom_site_fract_y
_atom_site_fract_z
_atom_site_occupancy
Nb1 Nb 0.500 0.500 0.500 1
Co1 Co 0.250 0.250 0.250 1
Co2 Co 0.750 0.750 0.750 1
Cl1 Cl 0.000 0.000 0.000 1



No. 3
# P2W7O25 | the Alexandria database | GGA-PBEsol | optimized geometry
# - E_tot: -9.23 eV per atom
# - V: 14.00 Å³/atom
# - E_form (uncorrected): -2.1839 eV per atom
data_P2W7O25
_symmetry_space_group_name_H-M 'P 1'
_symmetry_Int_Tables_number 1
_cell_length_a 5.356
_cell_length_b 6.619
_cell_length_c 26.862
_cell_angle_alpha 90.00
_cell_angle_beta 89.99
_cell_angle_gamma 90.00
loop_
_symmetry_equiv_pos_as_xyz
'x,y,z'
loop_
_atom_site_label
_atom_site_type_symbol
_atom_site_fract_x
_atom_site_fract_y
_atom_site_fract_z
_atom_site_occupancy
W1 W 0.000 0.500 0.000 1
W2 W 0.500 0.000 0.500 1
W3 W 0.000 0.838 0.886 1
W4 W 0.500 0.497 0.171 1
W5 W 0.000 0.003 0.671 1
W6 W 0.500 0.831 0.056 1
W7 W 0.500 0.503 0.829 1
W8 W 0.000 0.162 0.114 1
W9 W 0.500 0.662 0.386 1
W10 W 0.000 0.331 0.444 1
W11 W 0.500 0.338 0.614 1
W12 W 0.000 0.997 0.329 1
W13 W 0.000 0.669 0.556 1
W14 W 0.500 0.169 0.944 1
O1 O 0.000 0.666 0.940 1
O2 O 0.000 0.867 0.264 1
O3 O 0.251 0.000 0.912 1
O4 O 0.751 0.669 0.029 1
O5 O 0.749 0.332 0.148 1
O6 O 0.500 0.367 0.236 1
O7 O 0.752 0.169 0.647 1
O8 O 0.250 0.168 0.472 1
O9 O 0.500 0.000 0.000 1
O10 O 0.000 0.841 0.615 1
O11 O 0.736 0.820 0.699 1
O12 O 0.236 0.680 0.199 1
O13 O 0.500 0.341 0.885 1
O14 O 0.262 0.819 0.700 1
O15 O 0.748 0.669 0.853 1
O16 O 0.738 0.181 0.300 1
O17 O 0.749 0.000 0.088 1
O18 O 0.749 0.169 0.471 1
O19 O 0.000 0.133 0.736 1
O20 O 0.238 0.319 0.800 1
O21 O 0.248 0.831 0.353 1
O22 O 0.500 0.659 0.115 1
O23 O 0.751 0.832 0.352 1
O24 O 0.000 0.995 0.176 1
O25 O 0.249 0.331 0.971 1
O26 O 0.000 0.159 0.385 1
O27 O 0.251 0.668 0.852 1
O28 O 0.249 0.168 0.648 1
O29 O 0.500 0.495 0.324 1
O30 O 0.000 0.500 0.500 1
O31 O 0.249 0.000 0.088 1
O32 O 0.751 0.500 0.412 1
O33 O 0.751 0.000 0.912 1
O34 O 0.251 0.831 0.529 1
O35 O 0.500 0.505 0.676 1
O36 O 0.264 0.180 0.301 1
O37 O 0.251 0.500 0.412 1
O38 O 0.000 0.005 0.824 1
O39 O 0.252 0.331 0.147 1
O40 O 0.750 0.832 0.528 1
O41 O 0.249 0.500 0.588 1
O42 O 0.750 0.332 0.972 1
O43 O 0.250 0.668 0.028 1
O44 O 0.500 0.166 0.560 1
O45 O 0.000 0.334 0.060 1
O46 O 0.762 0.681 0.200 1
O47 O 0.749 0.500 0.588 1
O48 O 0.500 0.633 0.764 1
O49 O 0.764 0.320 0.801 1
O50 O 0.500 0.834 0.440 1
P1 P 0.500 0.695 0.709 1
P2 P 0.500 0.305 0.291 1
P3 P 0.000 0.195 0.791 1
P4 P 0.000 0.805 0.209 1



No. 4
# K10Zr3MnMo12O48 | the Alexandria database | GGA-PBEsol | optimized geometry
# - E_tot: -8.19 eV per atom
# - V: 16.38 Å³/atom
# - E_form (uncorrected): -2.2251 eV per atom
data_K10Zr3MnMo12O48
_symmetry_space_group_name_H-M 'P 1'
_symmetry_Int_Tables_number 1
_cell_length_a 10.599
_cell_length_b 10.599
_cell_length_c 13.884
_cell_angle_alpha 67.56
_cell_angle_beta 67.56
_cell_angle_gamma 60.00
loop_
_symmetry_equiv_pos_as_xyz
'x,y,z'
loop_
_atom_site_label
_atom_site_type_symbol
_atom_site_fract_x
_atom_site_fract_y
_atom_site_fract_z
_atom_site_occupancy
O1 O 0.352 0.136 0.907 1
O2 O 0.395 0.865 0.092 1
O3 O 0.718 0.428 0.401 1
O4 O 0.642 0.831 0.419 1
O5 O 0.250 0.149 0.148 1
O6 O 0.862 0.313 0.217 1
O7 O 0.169 0.358 0.580 1
O8 O 0.217 0.951 0.905 1
O9 O 0.452 0.250 0.148 1
O10 O 0.606 0.352 0.907 1
O11 O 0.548 0.852 0.850 1
O12 O 0.245 0.359 0.350 1
O13 O 0.865 0.648 0.092 1
O14 O 0.049 0.783 0.094 1
O15 O 0.631 0.175 0.287 1
O16 O 0.852 0.750 0.850 1
O17 O 0.951 0.927 0.905 1
O18 O 0.687 0.138 0.782 1
O19 O 0.428 0.453 0.401 1
O20 O 0.648 0.395 0.092 1
O21 O 0.783 0.074 0.094 1
O22 O 0.359 0.046 0.350 1
O23 O 0.892 0.169 0.580 1
O24 O 0.572 0.282 0.597 1
O25 O 0.641 0.755 0.649 1
O26 O 0.138 0.393 0.782 1
O27 O 0.358 0.892 0.580 1
O28 O 0.393 0.687 0.782 1
O29 O 0.453 0.718 0.401 1
O30 O 0.548 0.572 0.597 1
O31 O 0.755 0.954 0.649 1
O32 O 0.954 0.641 0.649 1
O33 O 0.093 0.825 0.712 1
O34 O 0.046 0.245 0.350 1
O35 O 0.825 0.369 0.712 1
O36 O 0.108 0.642 0.419 1
O37 O 0.369 0.093 0.712 1
O38 O 0.608 0.862 0.217 1
O39 O 0.149 0.452 0.148 1
O40 O 0.907 0.631 0.287 1
O41 O 0.136 0.606 0.907 1
O42 O 0.282 0.548 0.597 1
O43 O 0.313 0.608 0.217 1
O44 O 0.175 0.907 0.287 1
O45 O 0.927 0.217 0.905 1
O46 O 0.074 0.049 0.094 1
O47 O 0.750 0.548 0.850 1
O48 O 0.831 0.108 0.419 1
Mo1 Mo 0.227 0.990 0.154 1
Mo2 Mo 0.010 0.774 0.845 1
Mo3 Mo 0.990 0.630 0.154 1
Mo4 Mo 0.518 0.862 0.350 1
Mo5 Mo 0.862 0.270 0.350 1
Mo6 Mo 0.630 0.227 0.154 1
Mo7 Mo 0.138 0.483 0.649 1
Mo8 Mo 0.270 0.518 0.350 1
Mo9 Mo 0.370 0.010 0.845 1
Mo10 Mo 0.730 0.138 0.649 1
Mo11 Mo 0.774 0.370 0.845 1
Mo12 Mo 0.483 0.730 0.649 1
K1 K 0.402 0.402 0.794 1
K2 K 0.868 0.500 0.500 1
K3 K 0.892 0.892 0.325 1
K4 K 0.391 0.609 0.000 1
K5 K 0.609 0.001 0.000 1
K6 K 0.109 0.109 0.674 1
K7 K 0.500 0.133 0.500 1
K8 K 0.001 0.391 0.000 1
K9 K 0.133 0.868 0.500 1
K10 K 0.599 0.599 0.204 1
Zr1 Zr 0.248 0.248 0.257 1
Zr2 Zr 0.753 0.753 0.742 1
Zr3 Zr 0.000 0.000 0.000 1
Mn1 Mn 0.500 0.500 0.499 1



No. 5
# FeAgSe2N | the Alexandria database | GGA-PBEsol | optimized geometry
# - E_tot: -4.29 eV per atom
# - V: 19.58 Å³/atom
# - E_form (uncorrected): 1.4098 eV per atom
data_FeAgSe2N
_symmetry_space_group_name_H-M 'P 1'
_symmetry_Int_Tables_number 1
_cell_length_a 3.835
_cell_length_b 5.052
_cell_length_c 5.052
_cell_angle_alpha 90.00
_cell_angle_beta 90.00
_cell_angle_gamma 90.00
loop_
_symmetry_equiv_pos_as_xyz
'x,y,z'
loop_
_atom_site_label
_atom_site_type_symbol
_atom_site_fract_x
_atom_site_fract_y
_atom_site_fract_z
_atom_site_occupancy
N1 N 0.500 0.000 0.000 1
Se1 Se 0.000 0.500 0.000 1
Se2 Se 0.000 0.000 0.500 1
Ag1 Ag 0.000 0.000 0.000 1
Fe1 Fe 0.500 0.500 0.500 1



No. 6
# CaMg3C | the Alexandria database | GGA-PBEsol | optimized geometry
# - E_tot: -3.03 eV per atom
# - V: 19.97 Å³/atom
# - ΔE_f: 0.359 eV/atom
# - Excess energy over the best structure of this formula in the dataset: 0.0000 eV/atom
data_CaMg3C
_symmetry_space_group_name_H-M 'P 1'
_symmetry_Int_Tables_number 1
_cell_length_a 4.639
_cell_length_b 4.639
_cell_length_c 4.639
_cell_angle_alpha 90.00
_cell_angle_beta 90.00
_cell_angle_gamma 90.00
loop_
_symmetry_equiv_pos_as_xyz
'x,y,z'
loop_
_atom_site_label
_atom_site_type_symbol
_atom_site_fract_x
_atom_site_fract_y
_atom_site_fract_z
_atom_site_occupancy
Mg1 Mg 0.500 0.000 0.000 1
Mg2 Mg 0.000 0.000 0.500 1
Mg3 Mg 0.000 0.500 0.000 1
C1 C 0.000 0.000 0.000 1
Ca1 Ca 0.500 0.500 0.500 1



No. 7
# HgTeW2 | the Alexandria database | GGA-PBEsol | optimized geometry
# - E_tot: -6.91 eV per atom
# - V: 18.10 Å³/atom
# - E_form (uncorrected): 1.0171 eV per atom
# - Excess energy over the best structure of this formula in the dataset: 0.5659 eV/atom
data_HgTeW2
_symmetry_space_group_name_H-M 'P 1'
_symmetry_Int_Tables_number 1
_cell_length_a 4.159
_cell_length_b 4.159
_cell_length_c 5.115
_cell_angle_alpha 113.99
_cell_angle_beta 113.99
_cell_angle_gamma 90.00
loop_
_symmetry_equiv_pos_as_xyz
'x,y,z'
loop_
_atom_site_label
_atom_site_type_symbol
_atom_site_fract_x
_atom_site_fract_y
_atom_site_fract_z
_atom_site_occupancy
Hg1 Hg 0.500 0.500 0.000 1
W1 W 0.000 0.000 0.000 1
W2 W 0.750 0.250 0.500 1
Te1 Te 0.250 0.750 0.500 1



No. 8
# FeCoMo2 | the Alexandria database | GGA-PBEsol | optimized geometry
# - E_tot: -9.99 eV per atom
# - V: 12.53 Å³/atom
# - ΔE_f: 0.073 eV/atom
# - Excess energy over the best structure of this formula in the dataset: 0.0121 eV/atom
data_FeCoMo2
_symmetry_space_group_name_H-M 'P 1'
_symmetry_Int_Tables_number 1
_cell_length_a 2.635
_cell_length_b 4.206
_cell_length_c 4.537
_cell_angle_alpha 90.00
_cell_angle_beta 94.20
_cell_angle_gamma 90.00
loop_
_symmetry_equiv_pos_as_xyz
'x,y,z'
loop_
_atom_site_label
_atom_site_type_symbol
_atom_site_fract_x
_atom_site_fract_y
_atom_site_fract_z
_atom_site_occupancy
Mo1 Mo 0.961 0.000 0.944 1
Mo2 Mo 0.795 0.500 0.304 1
Co1 Co 0.384 0.000 0.458 1
Fe1 Fe 0.360 0.500 0.794 1



No. 9
# MgAu5 | the Alexandria database | GGA-PBEsol | optimized geometry
# - E_tot: -3.82 eV per atom
# - V: 16.95 Å³/atom
# - ΔE_f: -0.265 eV/atom
data_MgAu5
_symmetry_space_group_name_H-M 'P 1'
_symmetry_Int_Tables_number 1
_cell_length_a 4.729
_cell_length_b 4.984
_cell_length_c 4.984
_cell_angle_alpha 120.00
_cell_angle_beta 90.00
_cell_angle_gamma 90.00
loop_
_symmetry_equiv_pos_as_xyz
'x,y,z'
loop_
_atom_site_label
_atom_site_type_symbol
_atom_site_fract_x
_atom_site_fract_y
_atom_site_fract_z
_atom_site_occupancy
Au1 Au 0.000 0.669 0.000 1
Au2 Au 0.000 0.331 0.331 1
Au3 Au 0.500 0.333 0.667 1
Au4 Au 0.000 0.000 0.669 1
Au5 Au 0.500 0.667 0.333 1
Mg1 Mg 0.500 0.000 0.000 1



No. 10
# AlMo2Rh | the Alexandria database | GGA-PBEsol | optimized geometry
# - E_tot: -9.08 eV per atom
# - V: 14.64 Å³/atom
# - ΔE_f: -0.139 eV/atom
data_AlMo2Rh
_symmetry_space_group_name_H-M 'P 1'
_symmetry_Int_Tables_number 1
_cell_length_a 2.702
_cell_length_b 3.966
_cell_length_c 5.466
_cell_angle_alpha 90.00
_cell_angle_beta 90.00
_cell_angle_gamma 90.00
loop_
_symmetry_equiv_pos_as_xyz
'x,y,z'
loop_
_atom_site_label
_atom_site_type_symbol
_atom_site_fract_x
_atom_site_fract_y
_atom_site_fract_z
_atom_site_occupancy
Mo1 Mo 0.000 0.000 0.999 1
Mo2 Mo 0.500 0.500 0.244 1
Rh1 Rh 0.000 0.000 0.523 1
Al1 Al 0.500 0.500 0.735 1



> What is the formula in the fourth record?

K10Zr3MnMo12O48